The following is a DFT calculation (PBE-GGA) of crystalline Ac2GdF at its relaxed geometry.

## Properties
ΔE_f (raw)	-0.8763	eV/atom
total moment	7.842	μB per cell
DOS at the Fermi energy	7.62	states/eV per cell
E_tot	-6.919	eV/atom
symmetry	R-3m, No. 166

Unit cell a=3.9097 b=3.9097 c=10.5074 alpha=79.28 beta=79.28 gamma=60.00
Each line ends with the local moment (μB).
Fractional positions:
Gd (0.0000, 0.0000, 0.0000)  -7.32
F (0.5000, 0.5000, 0.5000)  0.00
Ac (0.8861, 0.8861, 0.3416)  -0.01
Ac (0.1139, 0.1139, 0.6584)  -0.01